# 1
Tc2PdOF | GGA-PBE | optimized geometry

Cell lengths 3.9262, 3.9262, 4.6365 Å; angles 90.00, 90.00, 90.00 degrees
Element x y z (fractional)
Tc  0.0000  0.5000  0.0000
Tc  0.5000  0.0000  0.0000
Pd  0.0000  0.0000  0.5000
O  0.0000  0.0000  0.0000
F  0.5000  0.5000  0.5000

Computed properties:
- symmetry = P4/mmm
- total moment (μB per atom) = 0.08
- DFT total energy (eV per atom) = -6.197

# 2
TcPdOF2 | GGA-PBE | optimized geometry

Cell lengths 4.2038, 4.2038, 4.0992 Å; angles 90.00, 90.00, 90.00 degrees
Element x y z (fractional)
Tc  0.0000  0.0000  0.0000
Pd  0.5000  0.5000  0.5000
O  0.5000  0.5000  0.0000
F  0.0000  0.5000  0.5000
F  0.5000  0.0000  0.5000

Computed properties:
- symmetry = P4/mmm
- energy above the most stable polymorph in this dataset (eV per atom) = 0.656
- total moment (μB per atom) = 0.98
- DFT total energy (eV per atom) = -4.981

# 3
TePdO2F | GGA-PBE | optimized geometry

Cell lengths 4.1480, 4.1480, 4.3886 Å; angles 90.00, 90.00, 90.00 degrees
Element x y z (fractional)
Te  0.0000  0.0000  0.0000
Pd  0.5000  0.5000  0.5000
O  0.0000  0.5000  0.0000
O  0.5000  0.0000  0.0000
F  0.0000  0.0000  0.5000

Computed properties:
- symmetry = P4/mmm
- total moment (μB per atom) = 0.14
- DFT total energy (eV per atom) = -4.448

Number 1: density of states at the Fermi level 1.4999 states/eV per atom, formation energy from raw total energies 0.354 eV per atom. Number 2: density of states at the Fermi level 0.3515 states/eV per atom, formation energy from raw total energies -0.129 eV per atom. Number 3: density of states at the Fermi level 1.1381 states/eV per atom, formation energy from raw total energies -0.424 eV per atom.